1.
Material: LaNpNi10
Method: DFT, PBE
State: relaxed

Lattice parameters (Å, degrees): 3.972 4.920 8.538 90.00 90.00 90.00
Positions (direct):
La  0.000  0.000  0.000
Np  0.000  0.500  0.500
Ni  0.000  0.000  0.340
Ni  0.000  0.500  0.822
Ni  0.000  0.500  0.178
Ni  0.000  0.000  0.660
Ni  0.500  0.000  0.500
Ni  0.500  0.500  0.000
Ni  0.500  0.256  0.258
Ni  0.500  0.744  0.742
Ni  0.500  0.744  0.258
Ni  0.500  0.256  0.742

---

2.
Material: LaNpNi4
Method: DFT, PBE
State: relaxed

Lattice parameters (Å, degrees): 5.117 5.117 5.117 60.00 60.00 60.00
Positions (direct):
Np  0.250  0.250  0.250
Ni  0.623  0.623  0.130
Ni  0.623  0.130  0.623
Ni  0.623  0.623  0.623
Ni  0.130  0.623  0.623
La  0.000  0.000  0.000

---

no.,calculated density (g cm⁻³),calculated formation energy (meV/atom)
1,9.58,-206
2,10.70,-153